Below is a geometry-optimized CaYAl3O7 structure, with properties calculated at the GGA-PBE level.

Unit cell a=7.765 b=7.765 c=5.099 alpha=90.00 beta=90.00 gamma=90.12
Element x y z (fractional)
Ca (0.160, 0.840, 0.000)
Ca (0.840, 0.160, 0.000)
Y (0.340, 0.340, 0.036)
Y (0.660, 0.660, 0.036)
Al (0.000, 0.500, 0.517)
Al (0.146, 0.146, 0.475)
Al (0.356, 0.644, 0.560)
Al (0.500, 0.000, 0.517)
Al (0.644, 0.356, 0.560)
Al (0.854, 0.854, 0.475)
O (0.000, 0.000, 0.337)
O (0.100, 0.344, 0.314)
O (0.154, 0.154, 0.816)
O (0.161, 0.591, 0.717)
O (0.344, 0.100, 0.314)
O (0.369, 0.631, 0.217)
O (0.409, 0.839, 0.717)
O (0.500, 0.500, 0.720)
O (0.591, 0.161, 0.717)
O (0.631, 0.369, 0.217)
O (0.656, 0.900, 0.314)
O (0.839, 0.409, 0.717)
O (0.846, 0.846, 0.816)
O (0.900, 0.656, 0.314)

Results
Energy relative to the elements, uncorrected ... -3147 meV/atom
V ... 307 Å³ per cell
Excess energy over the best structure of this formula in the dataset ... 0.003 eV/atom